1.
! PBE-GGA Ho2Au5F21, optimized geometry; values from VASP
! * formation energy without anion corrections: -1.908 eV/atom
! * space group: P-1 (2)
! * total energy: -236.5 eV for the cell shown
! * ρ: 6.37 Mg/m³
&SYSTEM
  ibrav = 0, nat = 56, ntyp = 3
/
ATOMIC_SPECIES
Ho 164.93 Ho.upf
Au 196.97 Au.upf
F 19.00 F.upf
CELL_PARAMETERS angstrom
8.066 -0.002 0.010
0.161 9.207 0.002
0.225 0.165 12.040
ATOMIC_POSITIONS crystal
Ho 0.668 0.317 0.496
Ho 0.332 0.683 0.504
Ho 0.662 0.183 0.001
Ho 0.338 0.817 0.999
Au 0.173 0.281 0.595
Au 0.827 0.719 0.405
Au 0.562 0.509 0.791
Au 0.438 0.491 0.209
Au 0.837 0.779 0.093
Au 0.163 0.221 0.907
Au 0.436 0.016 0.297
Au 0.564 0.984 0.703
Au 0.011 0.250 0.246
Au 0.989 0.750 0.754
F 0.688 0.409 0.673
F 0.312 0.591 0.327
F 0.851 0.261 0.123
F 0.149 0.739 0.877
F 0.702 0.398 0.896
F 0.298 0.602 0.104
F 0.142 0.412 0.839
F 0.858 0.588 0.161
F 0.660 0.105 0.817
F 0.340 0.895 0.183
F 0.500 0.000 0.000
F 0.514 0.135 0.420
F 0.486 0.865 0.580
F 0.931 0.283 0.577
F 0.069 0.717 0.423
F 0.500 0.500 0.500
F 0.176 0.241 0.361
F 0.824 0.759 0.639
F 0.836 0.220 0.362
F 0.164 0.780 0.638
F 0.828 0.510 0.451
F 0.172 0.490 0.549
F 0.700 0.095 0.595
F 0.300 0.905 0.405
F 0.166 0.083 0.650
F 0.834 0.917 0.350
F 0.585 0.732 0.385
F 0.415 0.268 0.615
F 0.584 0.383 0.310
F 0.416 0.617 0.690
F 0.452 0.612 0.915
F 0.548 0.388 0.085
F 0.178 0.019 0.968
F 0.822 0.981 0.032
F 0.426 0.876 0.811
F 0.574 0.124 0.189
F 0.923 0.195 0.900
F 0.077 0.805 0.100
F 0.405 0.254 0.912
F 0.595 0.746 0.088
F 0.810 0.727 0.862
F 0.190 0.273 0.138

=====

2.
! PBE-GGA Ho2AuF, optimized geometry; values from VASP
! * formation energy without anion corrections: -1.633 eV/atom
! * space group: R-3m (166)
! * DOS at the Fermi energy: 0.620 states/eV per atom
! * total energy: -20.8 eV for the cell shown
! * ρ: 7.72 Mg/m³
&SYSTEM
  ibrav = 0, nat = 4, ntyp = 3
/
ATOMIC_SPECIES
Au 196.97 Au.upf
Ho 164.93 Ho.upf
F 19.00 F.upf
CELL_PARAMETERS angstrom
-1.555 -3.541 1.964
1.456 -1.116 3.931
-5.220 2.417 5.013
ATOMIC_POSITIONS crystal
Au 0.500 0.500 0.500
Ho 0.100 0.100 0.699
Ho 0.900 0.900 0.301
F 0.000 0.000 0.000

=====

3.
! PBE-GGA HoAuF, optimized geometry; values from VASP
! * formation energy without anion corrections: -1.956 eV/atom
! * space group: P4_2/mmc (131)
! * DOS at the Fermi energy: 0.381 states/eV per atom
! * total energy: -62.4 eV for the cell shown
! * ρ: 7.91 Mg/m³
&SYSTEM
  ibrav = 0, nat = 12, ntyp = 3
/
ATOMIC_SPECIES
Ho 164.93 Ho.upf
Au 196.97 Au.upf
F 19.00 F.upf
CELL_PARAMETERS angstrom
-4.755 3.687 -0.531
-0.903 -2.157 -6.889
-4.395 -5.344 2.249
ATOMIC_POSITIONS crystal
Ho 0.000 0.500 0.764
Ho 0.500 0.236 0.500
Ho 0.500 0.764 0.500
Ho 0.000 0.500 0.236
Au 0.000 0.803 0.500
Au 0.500 0.500 0.803
Au 0.500 0.500 0.197
Au 0.000 0.197 0.500
F 0.000 0.683 0.000
F 0.500 0.000 0.683
F 0.500 0.000 0.317
F 0.000 0.317 0.000

=====

4.
! PBE-GGA AuIF2, optimized geometry; values from VASP
! * formation energy without anion corrections: -0.414 eV/atom
! * space group: I-42d (122)
! * DOS at the Fermi energy: 0.704 states/eV per atom
! * total energy: -20.4 eV for the cell shown
! * ρ: 6.11 Mg/m³
! * excess energy over the best structure of this formula in the dataset: 64.5 meV/atom
&SYSTEM
  ibrav = 0, nat = 8, ntyp = 3
/
ATOMIC_SPECIES
I 126.90 I.upf
Au 196.97 Au.upf
F 19.00 F.upf
CELL_PARAMETERS angstrom
-7.384 -0.933 -3.934
2.295 -7.711 -2.480
-3.642 -5.392 -0.893
ATOMIC_POSITIONS crystal
I 0.500 0.500 0.000
I 0.250 0.750 0.500
Au 0.000 0.000 0.000
Au 0.750 0.250 0.500
F 0.853 0.125 0.250
F 0.897 0.625 0.250
F 0.375 0.147 0.750
F 0.875 0.103 0.750

=====

5.
! PBE-GGA Au2I3F, optimized geometry; values from VASP
! * formation energy without anion corrections: -0.224 eV/atom
! * space group: C2/m (12)
! * DOS at the Fermi energy: 0.498 states/eV per atom
! * total energy: -28.8 eV for the cell shown
! * ρ: 6.17 Mg/m³
&SYSTEM
  ibrav = 0, nat = 12, ntyp = 3
/
ATOMIC_SPECIES
Au 196.97 Au.upf
I 126.90 I.upf
F 19.00 F.upf
CELL_PARAMETERS angstrom
4.404 0.000 0.000
0.000 8.438 -1.066
-2.202 -3.557 11.939
ATOMIC_POSITIONS crystal
Au 0.254 0.603 0.507
Au 0.746 0.397 0.493
Au 0.970 0.789 0.941
Au 0.030 0.211 0.059
I 0.257 0.229 0.515
I 0.072 0.771 0.144
I 0.402 0.768 0.803
I 0.743 0.771 0.485
I 0.598 0.232 0.197
I 0.928 0.229 0.856
F 0.416 0.246 0.831
F 0.584 0.754 0.169

=====

6.
! PBE-GGA AuIF3, optimized geometry; values from VASP
! * formation energy without anion corrections: -0.325 eV/atom
! * space group: Pm-3m (221)
! * DOS at the Fermi energy: 0.260 states/eV per atom
! * total energy: -12.1 eV for the cell shown
! * ρ: 6.28 Mg/m³
! * excess energy over the best structure of this formula in the dataset: 468.6 meV/atom
&SYSTEM
  ibrav = 0, nat = 5, ntyp = 3
/
ATOMIC_SPECIES
I 126.90 I.upf
Au 196.97 Au.upf
F 19.00 F.upf
CELL_PARAMETERS angstrom
4.653 0.000 0.000
0.000 4.653 0.000
0.000 0.000 4.653
ATOMIC_POSITIONS crystal
I 0.000 0.000 0.000
Au 0.500 0.500 0.500
F 0.000 0.500 0.000
F 0.000 0.000 0.500
F 0.500 0.000 0.000

=====

7.
! PBE-GGA AuIF, optimized geometry; values from VASP
! * formation energy without anion corrections: -0.293 eV/atom
! * space group: P3m1 (156)
! * DOS at the Fermi energy: 1.344 states/eV per atom
! * total energy: -7.6 eV for the cell shown
! * ρ: 8.14 Mg/m³
! * excess energy over the best structure of this formula in the dataset: 235.6 meV/atom
&SYSTEM
  ibrav = 0, nat = 3, ntyp = 3
/
ATOMIC_SPECIES
I 126.90 I.upf
Au 196.97 Au.upf
F 19.00 F.upf
CELL_PARAMETERS angstrom
4.948 0.000 0.000
0.000 4.039 0.000
0.000 -2.020 3.498
ATOMIC_POSITIONS crystal
I 0.732 0.667 0.333
Au 0.034 0.000 0.000
F 0.234 0.333 0.667

=====

8.
! PBE-GGA AuIF2, optimized geometry; values from VASP
! * formation energy without anion corrections: -0.441 eV/atom
! * space group: R-3m (166)
! * DOS at the Fermi energy: 0.351 states/eV per atom
! * total energy: -10.3 eV for the cell shown
! * ρ: 7.19 Mg/m³
! * excess energy over the best structure of this formula in the dataset: 36.6 meV/atom
&SYSTEM
  ibrav = 0, nat = 4, ntyp = 3
/
ATOMIC_SPECIES
I 126.90 I.upf
Au 196.97 Au.upf
F 19.00 F.upf
CELL_PARAMETERS angstrom
1.897 0.000 8.938
-0.949 1.643 8.938
-0.949 -1.643 8.938
ATOMIC_POSITIONS crystal
I 0.000 0.000 0.000
Au 0.500 0.500 0.500
F 0.924 0.924 0.924
F 0.076 0.076 0.076

=====

9.
! PBE-GGA AuIF3, optimized geometry; values from VASP
! * formation energy without anion corrections: -0.481 eV/atom
! * space group: Pm-3m (221)
! * DOS at the Fermi energy: 1.018 states/eV per atom
! * total energy: -12.8 eV for the cell shown
! * ρ: 7.07 Mg/m³
! * excess energy over the best structure of this formula in the dataset: 312.1 meV/atom
&SYSTEM
  ibrav = 0, nat = 5, ntyp = 3
/
ATOMIC_SPECIES
I 126.90 I.upf
Au 196.97 Au.upf
F 19.00 F.upf
CELL_PARAMETERS angstrom
-3.863 -2.063 0.901
1.321 -3.526 -2.411
1.823 -1.817 3.656
ATOMIC_POSITIONS crystal
I 0.500 0.500 0.500
Au 0.000 0.000 0.000
F 0.000 0.500 0.000
F 0.000 0.000 0.500
F 0.500 0.000 0.000

=====

10.
! PBE-GGA AuIF3, optimized geometry; values from VASP
! * formation energy without anion corrections: -0.793 eV/atom
! * space group: P2_1 (4)
! * DOS at the Fermi energy: 0.025 states/eV per atom
! * total energy: -28.8 eV for the cell shown
! * ρ: 5.93 Mg/m³
! * excess energy over the best structure of this formula in the dataset: 0.0 meV/atom
&SYSTEM
  ibrav = 0, nat = 10, ntyp = 3
/
ATOMIC_SPECIES
Au 196.97 Au.upf
I 126.90 I.upf
F 19.00 F.upf
CELL_PARAMETERS angstrom
-1.916 4.519 -0.084
-1.509 -0.535 5.521
6.724 2.887 1.917
ATOMIC_POSITIONS crystal
Au 0.160 0.649 0.702
Au 0.660 0.704 0.200
I 0.414 0.259 0.695
I 0.914 0.094 0.206
F 0.490 0.376 0.192
F 0.347 0.839 0.073
F 0.968 0.559 0.325
F 0.990 0.977 0.709
F 0.847 0.514 0.828
F 0.467 0.794 0.577

=====

11.
! PBE-GGA Au2I4F, optimized geometry; values from VASP
! * formation energy without anion corrections: -0.273 eV/atom
! * space group: Cc (9)
! * DOS at the Fermi energy: 0.362 states/eV per atom
! * total energy: -33.1 eV for the cell shown
! * ρ: 5.70 Mg/m³
&SYSTEM
  ibrav = 0, nat = 14, ntyp = 3
/
ATOMIC_SPECIES
Au 196.97 Au.upf
I 126.90 I.upf
F 19.00 F.upf
CELL_PARAMETERS angstrom
-7.815 -0.447 -0.888
0.363 -7.870 -0.072
2.795 4.009 9.075
ATOMIC_POSITIONS crystal
Au 0.632 0.405 0.786
Au 0.631 0.904 0.286
Au 0.632 0.398 0.286
Au 0.138 0.404 0.786
I 0.870 0.137 0.285
I 0.401 0.665 0.287
I 0.872 0.637 0.787
I 0.884 0.163 0.787
I 0.383 0.157 0.285
I 0.398 0.166 0.785
I 0.378 0.652 0.785
I 0.874 0.652 0.286
F 0.073 0.451 0.284
F 0.083 0.961 0.784

=====

12.
! PBE-GGA AuIF, optimized geometry; values from VASP
! * formation energy without anion corrections: -0.528 eV/atom
! * space group: P2_1/m (11)
! * DOS at the Fermi energy: 0.201 states/eV per atom
! * total energy: -16.6 eV for the cell shown
! * ρ: 6.74 Mg/m³
! * excess energy over the best structure of this formula in the dataset: 0.0 meV/atom
&SYSTEM
  ibrav = 0, nat = 6, ntyp = 3
/
ATOMIC_SPECIES
Au 196.97 Au.upf
I 126.90 I.upf
F 19.00 F.upf
CELL_PARAMETERS angstrom
-5.415 1.414 1.013
-1.501 -3.297 -3.417
-0.571 -4.779 3.619
ATOMIC_POSITIONS crystal
Au 0.250 0.287 0.675
Au 0.750 0.713 0.325
I 0.750 0.326 0.663
I 0.250 0.674 0.337
F 0.250 0.957 0.917
F 0.750 0.043 0.083

=====

Q: Which of these has the lowest total energy?
A: Ho2Au5F21

=====

Q: total energy of number 11 (Au2I4F)?
A: -33.1 eV for the cell shown

=====

Q: Which of these has the highest formation energy without anion corrections?
A: Au2I3F